[1]
Computed, not measured: a geometry-optimized BrO structure at the PBE level of DFT.

Cell: 5.5564 6.2049 7.7999 Å, 89.07 71.28 72.65°
Space group P1 (No. 1)
Inequivalent atoms, fractional coordinates:
Br1 0.0000 0.0000 0.0000 (multiplicity 1)
Br2 0.0887 0.2915 0.1651 (multiplicity 1)
Br3 0.3988 0.4989 0.4034 (multiplicity 1)
Br4 0.7907 0.2984 0.7666 (multiplicity 1)
O1 0.1668 0.5629 0.2839 (multiplicity 1)
O2 0.6419 0.4861 0.6213 (multiplicity 1)
O3 0.8138 0.7009 0.5797 (multiplicity 1)
O4 0.9772 0.6619 0.6612 (multiplicity 1)

Summary:
- M_tot: 0.000 μB/atom
- Energy above the lowest structure with this stoichiometry: 44 meV per atom
- VASP energy: -0.22996 Ry/atom
- Raw formation energy: 0.187 eV/atom

[2]
Computed, not measured: a geometry-optimized Nd2SmIn6 structure at the PBE level of DFT.

Cell: 8.6669 8.6669 3.7095 Å, 90.00 90.00 120.00°
Space group P6/mmm (No. 191)
Inequivalent atoms, fractional coordinates:
Nd1 0.3333 0.6667 0.0000 (multiplicity 2)
Sm1 0.0000 0.0000 0.0000 (multiplicity 1)
In1 0.0000 0.3327 0.5000 (multiplicity 6)

Summary:
- M_tot: 0.000 μB/atom
- VASP energy: -0.28456 Ry/atom
- Formation energy: -462 meV/atom

[3]
Computed, not measured: a geometry-optimized La2ZnIr2 structure at the PBE level of DFT.

Cell: 7.6380 7.6380 3.9430 Å, 90.00 90.00 90.00°
Space group P4/mbm (No. 127)
Inequivalent atoms, fractional coordinates:
La1 0.1650 0.3350 0.0000 (multiplicity 4)
Zn1 0.0000 0.0000 0.5000 (multiplicity 2)
Ir1 0.1425 0.6425 0.5000 (multiplicity 4)

Summary:
- M_tot: 0.000 μB/atom
- VASP energy: -0.46380 Ry/atom
- Formation energy: -540 meV/atom

[4]
Computed, not measured: a geometry-optimized La3NdTm12 structure at the PBE level of DFT.

Cell: 5.0268 5.0268 20.1016 Å, 90.00 90.00 90.00°
Space group P4/mmm (No. 123)
Inequivalent atoms, fractional coordinates:
La1 0.0000 0.0000 0.0000 (multiplicity 1)
La2 0.0000 0.0000 0.2501 (multiplicity 2)
Nd1 0.0000 0.0000 0.5000 (multiplicity 1)
Tm1 0.0000 0.5000 0.1255 (multiplicity 4)
Tm2 0.0000 0.5000 0.3769 (multiplicity 4)
Tm3 0.5000 0.5000 0.0000 (multiplicity 1)
Tm4 0.5000 0.5000 0.2511 (multiplicity 2)
Tm5 0.5000 0.5000 0.5000 (multiplicity 1)

Summary:
- M_tot: 0.000 μB/atom
- VASP energy: -0.33342 Ry/atom
- Formation energy: 39 meV/atom

[5]
Computed, not measured: a geometry-optimized Ca2AlGaIr2 structure at the PBE level of DFT.

Cell: 5.9575 13.9778 5.9641 Å, 90.00 90.00 90.00°
Space group Ibam (No. 72)
Inequivalent atoms, fractional coordinates:
Ca1 0.2467 0.1745 0.0000 (multiplicity 8)
Al1 0.0000 0.5000 0.2500 (multiplicity 4)
Ga1 0.0000 0.0000 0.2500 (multiplicity 4)
Ir1 0.2434 0.3993 0.0000 (multiplicity 8)

Summary:
- M_tot: 0.000 μB/atom
- VASP energy: -0.39492 Ry/atom
- Formation energy: -624 meV/atom

[6]
Computed, not measured: a geometry-optimized MnZn4Pt15 structure at the PBE level of DFT.

Cell: 3.9205 3.9205 19.7355 Å, 90.00 90.00 90.00°
Space group P4/mmm (No. 123)
Inequivalent atoms, fractional coordinates:
Mn1 0.0000 0.0000 0.0000 (multiplicity 1)
Zn1 0.0000 0.0000 0.2004 (multiplicity 2)
Zn2 0.0000 0.0000 0.3999 (multiplicity 2)
Pt1 0.0000 0.5000 0.0992 (multiplicity 4)
Pt2 0.0000 0.5000 0.2997 (multiplicity 4)
Pt3 0.0000 0.5000 0.5000 (multiplicity 2)
Pt4 0.5000 0.5000 0.0000 (multiplicity 1)
Pt5 0.5000 0.5000 0.1993 (multiplicity 2)
Pt6 0.5000 0.5000 0.3998 (multiplicity 2)

Summary:
- M_tot: 0.190 μB/atom
- VASP energy: -0.41041 Ry/atom
- Formation energy: -340 meV/atom

[7]
Computed, not measured: a geometry-optimized ZrCrNi structure at the PBE level of DFT.

Cell: 6.0640 6.0640 6.0640 Å, 90.00 90.00 90.00°
Space group F-43m (No. 216)
Inequivalent atoms, fractional coordinates:
Zr1 0.0000 0.0000 0.0000 (multiplicity 4)
Cr1 0.2500 0.2500 0.2500 (multiplicity 4)
Ni1 0.2500 0.2500 0.7500 (multiplicity 4)

Summary:
- M_tot: 1.096 μB/atom
- Energy above the lowest structure with this stoichiometry: 928 meV per atom
- VASP energy: -0.53304 Ry/atom
- Formation energy: 732 meV/atom

[8]
Computed, not measured: a geometry-optimized KTeS2N structure at the PBE level of DFT.

Cell: 5.2262 5.2262 4.2846 Å, 90.00 90.00 90.00°
Space group P4/mmm (No. 123)
Inequivalent atoms, fractional coordinates:
K1 0.0000 0.0000 0.0000 (multiplicity 1)
Te1 0.5000 0.5000 0.5000 (multiplicity 1)
S1 0.0000 0.5000 0.5000 (multiplicity 2)
N1 0.5000 0.5000 0.0000 (multiplicity 1)

Summary:
- M_tot: 0.349 μB/atom
- Energy above the lowest structure with this stoichiometry: 0 meV per atom
- VASP energy: -0.27794 Ry/atom
- Raw formation energy: 0.382 eV/atom

[9]
Computed, not measured: a geometry-optimized BeSi4Ir structure at the PBE level of DFT.

Cell: 6.9410 6.9410 6.9410 Å, 90.00 90.00 90.00°
Space group F-43m (No. 216)
Inequivalent atoms, fractional coordinates:
Be1 0.0000 0.0000 0.0000 (multiplicity 4)
Si1 0.1256 0.1256 0.3744 (multiplicity 16)
Ir1 0.2500 0.2500 0.7500 (multiplicity 4)

Summary:
- M_tot: 0.000 μB/atom
- VASP energy: -0.37078 Ry/atom
- Raw formation energy: 0.668 eV/atom

[10]
Computed, not measured: a geometry-optimized Na3Ge3Pd2 structure at the PBE level of DFT.

Cell: 8.1463 14.6308 5.6774 Å, 90.00 90.00 90.00°
Space group Pnma (No. 62)
Inequivalent atoms, fractional coordinates:
Na1 0.0486 0.1170 0.0983 (multiplicity 8)
Na2 0.2183 0.2500 0.5943 (multiplicity 4)
Ge1 0.1311 0.7500 0.5790 (multiplicity 4)
Ge2 0.2016 0.0397 0.6254 (multiplicity 8)
Pd1 0.0857 0.5968 0.4078 (multiplicity 8)

Summary:
- M_tot: 0.000 μB/atom
- VASP energy: -0.27719 Ry/atom
- Formation energy: -247 meV/atom

[11]
Computed, not measured: a geometry-optimized Cd11Hg17Sb structure at the PBE level of DFT.

Cell: 10.5820 17.7851 9.0145 Å, 90.00 119.07 90.00°
Space group Cm (No. 8)
Inequivalent atoms, fractional coordinates:
Cd1 0.0000 0.0000 0.0000 (multiplicity 2)
Cd2 0.1920 0.2130 0.6864 (multiplicity 4)
Cd3 0.2855 0.0871 0.2328 (multiplicity 4)
Cd4 0.3914 0.2083 0.0634 (multiplicity 4)
Cd5 0.4272 0.3840 0.5335 (multiplicity 4)
Cd6 0.4546 0.1001 0.8456 (multiplicity 4)
Hg1 0.0221 0.5000 0.1777 (multiplicity 2)
Hg2 0.0512 0.1699 0.9127 (multiplicity 4)
Hg3 0.0528 0.1596 0.2899 (multiplicity 4)
Hg4 0.0995 0.3501 0.4251 (multiplicity 4)
Hg5 0.1057 0.0000 0.4469 (multiplicity 2)
Hg6 0.1993 0.0000 0.8338 (multiplicity 2)
Hg7 0.2181 0.3141 0.1748 (multiplicity 4)
Hg8 0.2402 0.3675 0.8514 (multiplicity 4)
Hg9 0.2809 0.5000 0.1232 (multiplicity 2)
Hg10 0.3864 0.2078 0.5368 (multiplicity 4)
Hg11 0.4523 0.0000 0.5736 (multiplicity 2)
Sb1 0.2746 0.5000 0.6226 (multiplicity 2)

Summary:
- M_tot: 0.000 μB/atom
- VASP energy: -0.04659 Ry/atom
- Raw formation energy: 0.032 eV/atom

[12]
Computed, not measured: a geometry-optimized Ca2Se structure at the PBE level of DFT.

Cell: 7.2929 7.2929 7.2929 Å, 90.00 90.00 90.00°
Space group Pa-3 (No. 205)
Inequivalent atoms, fractional coordinates:
Ca1 0.1592 0.1592 0.1592 (multiplicity 8)
Se1 0.0000 0.0000 0.5000 (multiplicity 4)

Summary:
- M_tot: 0.000 μB/atom
- VASP energy: -0.25730 Ry/atom
- Raw formation energy: -1.005 eV/atom

[13]
Computed, not measured: a geometry-optimized Pr5TeIr2 structure at the PBE level of DFT.

Cell: 8.1619 8.1619 13.7554 Å, 90.00 90.00 90.00°
Space group I4/mcm (No. 140)
Inequivalent atoms, fractional coordinates:
Pr1 0.0000 0.0000 0.0000 (multiplicity 4)
Pr2 0.1560 0.3440 0.1342 (multiplicity 16)
Te1 0.0000 0.0000 0.2500 (multiplicity 4)
Ir1 0.1407 0.3593 0.5000 (multiplicity 8)

Summary:
- M_tot: 0.000 μB/atom
- VASP energy: -0.46542 Ry/atom
- Raw formation energy: -0.737 eV/atom

[14]
Computed, not measured: a geometry-optimized TaH3Ru structure at the PBE level of DFT.

Cell: 3.4512 3.4512 3.4512 Å, 90.00 90.00 90.00°
Space group Pm-3m (No. 221)
Inequivalent atoms, fractional coordinates:
Ta1 0.0000 0.0000 0.0000 (multiplicity 1)
H1 0.0000 0.5000 0.5000 (multiplicity 3)
Ru1 0.5000 0.5000 0.5000 (multiplicity 1)

Summary:
- M_tot: 0.000 μB/atom
- VASP energy: -0.44402 Ry/atom

[15]
Computed, not measured: a geometry-optimized LiCa2TbTe4 structure at the PBE level of DFT.

Cell: 7.6565 4.4534 7.6604 Å, 90.00 108.88 90.00°
Space group P2/m (No. 10)
Inequivalent atoms, fractional coordinates:
Li1 0.0000 0.0000 0.0000 (multiplicity 1)
Ca1 0.0000 0.5000 0.5000 (multiplicity 1)
Ca2 0.5000 0.0000 0.5000 (multiplicity 1)
Tb1 0.5000 0.5000 0.0000 (multiplicity 1)
Te1 0.2472 0.5000 0.2403 (multiplicity 2)
Te2 0.2501 0.0000 0.7614 (multiplicity 2)

Summary:
- M_tot: 0.000 μB/atom
- VASP energy: -0.31864 Ry/atom
- Raw formation energy: -1.446 eV/atom

[16]
Computed, not measured: a geometry-optimized Ca2CeNdSe4 structure at the PBE level of DFT.

Cell: 7.2474 4.1852 7.4045 Å, 90.00 109.05 90.00°
Space group P2/m (No. 10)
Inequivalent atoms, fractional coordinates:
Ca1 0.0000 0.0000 0.0000 (multiplicity 1)
Ca2 0.5000 0.5000 0.0000 (multiplicity 1)
Ce1 0.0000 0.5000 0.5000 (multiplicity 1)
Nd1 0.5000 0.0000 0.5000 (multiplicity 1)
Se1 0.2473 0.5000 0.2436 (multiplicity 2)
Se2 0.2520 0.0000 0.7568 (multiplicity 2)

Summary:
- M_tot: 0.183 μB/atom
- VASP energy: -0.40163 Ry/atom
- Raw formation energy: -1.884 eV/atom

[17]
Computed, not measured: a geometry-optimized CdInPd2 structure at the PBE level of DFT.

Cell: 3.1434 3.1434 25.7930 Å, 90.00 90.00 120.00°
Space group R3m (No. 160, hexagonal axes)
Inequivalent atoms, fractional coordinates:
Cd1 0.0000 0.0000 0.0000 (multiplicity 3)
In1 0.0000 0.0000 0.8332 (multiplicity 3)
Pd1 0.0000 0.0000 0.2480 (multiplicity 3)
Pd2 0.0000 0.0000 0.4185 (multiplicity 3)

Summary:
- M_tot: 0.000 μB/atom
- Energy above the lowest structure with this stoichiometry: 140 meV per atom
- VASP energy: -0.28220 Ry/atom
- Formation energy: -330 meV/atom

[18]
Computed, not measured: a geometry-optimized LiTb2Zr3N6 structure at the PBE level of DFT.

Cell: 14.5023 3.3195 6.7329 Å, 90.00 104.64 90.00°
Space group C2/m (No. 12)
Inequivalent atoms, fractional coordinates:
Li1 0.0000 0.0000 0.0000 (multiplicity 2)
Tb1 0.1617 0.5000 0.3219 (multiplicity 4)
Zr1 0.0000 0.0000 0.5000 (multiplicity 2)
Zr2 0.1606 0.5000 0.8357 (multiplicity 4)
N1 0.0059 0.5000 0.7292 (multiplicity 4)
N2 0.1626 0.0000 0.5929 (multiplicity 4)
N3 0.1708 0.0000 0.0700 (multiplicity 4)

Summary:
- M_tot: 0.000 μB/atom
- VASP energy: -0.64605 Ry/atom
- Raw formation energy: -1.559 eV/atom

[19]
Computed, not measured: a geometry-optimized GdDySe2 structure at the PBE level of DFT.

Cell: 4.1087 4.1087 20.0337 Å, 90.00 90.00 120.00°
Space group R-3m (No. 166, hexagonal axes)
Inequivalent atoms, fractional coordinates:
Gd1 0.0000 0.0000 0.0000 (multiplicity 3)
Dy1 0.0000 0.0000 0.5000 (multiplicity 3)
Se1 0.0000 0.0000 0.2486 (multiplicity 6)

Summary:
- M_tot: 1.712 μB/atom
- VASP energy: -0.60428 Ry/atom
- Raw formation energy: -1.809 eV/atom

[20]
Computed, not measured: a geometry-optimized LaTb2Nd6Sm3 structure at the PBE level of DFT.

Cell: 6.3375 10.9747 12.1165 Å, 90.00 100.08 90.00°
Space group C2/m (No. 12)
Inequivalent atoms, fractional coordinates:
La1 0.0000 0.0000 0.0000 (multiplicity 2)
Tb1 0.0000 0.3335 0.0000 (multiplicity 4)
Nd1 0.2487 0.3328 0.7498 (multiplicity 8)
Nd2 0.2502 0.0000 0.7495 (multiplicity 4)
Sm1 0.0000 0.1672 0.5000 (multiplicity 4)
Sm2 0.0000 0.5000 0.5000 (multiplicity 2)

Summary:
- M_tot: 0.000 μB/atom
- VASP energy: -0.34768 Ry/atom
- Formation energy: 16 meV/atom

[21]
Computed, not measured: a geometry-optimized Sr3Zn2Hg structure at the PBE level of DFT.

Cell: 3.9497 3.9497 11.7690 Å, 90.00 90.00 90.00°
Space group P4/mmm (No. 123)
Inequivalent atoms, fractional coordinates:
Sr1 0.0000 0.0000 0.0000 (multiplicity 1)
Sr2 0.0000 0.0000 0.3284 (multiplicity 2)
Zn1 0.5000 0.5000 0.1631 (multiplicity 2)
Hg1 0.5000 0.5000 0.5000 (multiplicity 1)

Summary:
- M_tot: 0.000 μB/atom
- VASP energy: -0.11840 Ry/atom
- Formation energy: -295 meV/atom